VASP calculation (PBE+U) on a geometry-optimized LiScMo3O8 structure.

SG = P3m1
Crystal system = trigonal
VASP energy = -0.269 hartree per atom

Geometry as extended XYZ:
```
13
Lattice="6.194 0.000 0.000 -3.097 5.364 0.000 0.000 0.000 4.807" Properties=species:S:1:pos:R:3 pbc="T T T"
Li 0.000 0.000 0.000
Sc 3.097 1.788 0.363
Mo 0.000 1.818 2.723
Mo -1.522 4.455 2.723
Mo 1.522 4.455 2.723
O 0.000 0.000 1.720
O 4.644 2.681 1.673
O 1.466 0.847 3.899
O 0.000 3.576 3.804
O 3.097 0.002 1.673
O 1.550 2.681 1.673
O 4.727 0.847 3.899
O 3.097 3.671 3.899
```